No. 1
Density functional theory data (SCAN) for a crystal of ZrAl2Ni relaxed with PBEsol. Values from VASP.

N(E_F) in states/eV per cell: 5.1
Total magnetization in μB/f.u.: 0.000

Structure (Quantum ESPRESSO input):
```
&SYSTEM
  ibrav = 0, nat = 16, ntyp = 3
/
ATOMIC_SPECIES
Al 26.98 Al.upf
Ni 58.69 Ni.upf
Zr 91.22 Zr.upf
CELL_PARAMETERS angstrom
-5.050 -0.623 -1.053
1.378 -0.496 -6.314
0.747 -7.296 0.736
ATOMIC_POSITIONS crystal
Al 0.605 0.051 0.181
Al 0.105 0.949 0.319
Al 0.895 0.449 0.681
Al 0.395 0.551 0.819
Al 0.395 0.949 0.819
Al 0.895 0.051 0.681
Al 0.605 0.449 0.181
Al 0.105 0.551 0.319
Ni 0.365 0.750 0.098
Ni 0.635 0.250 0.902
Ni 0.865 0.250 0.402
Ni 0.135 0.750 0.598
Zr 0.607 0.750 0.470
Zr 0.393 0.250 0.530
Zr 0.893 0.750 0.970
Zr 0.107 0.250 0.030
```

No. 2
Density functional theory data (SCAN) for a crystal of Zr2Al3Ni relaxed with PBEsol. Values from VASP.

N(E_F) in states/eV per cell: 5.5
Total magnetization in μB/f.u.: 0.000

Structure (Quantum ESPRESSO input):
```
&SYSTEM
  ibrav = 0, nat = 12, ntyp = 3
/
ATOMIC_SPECIES
Al 26.98 Al.upf
Ni 58.69 Ni.upf
Zr 91.22 Zr.upf
CELL_PARAMETERS angstrom
3.196 0.000 0.000
0.000 8.552 0.000
0.000 -4.276 7.407
ATOMIC_POSITIONS crystal
Al 0.500 0.172 0.345
Al 0.500 0.172 0.828
Al 0.500 0.345 0.172
Al 0.500 0.828 0.172
Al 0.500 0.655 0.828
Al 0.500 0.828 0.655
Ni 0.500 0.333 0.667
Ni 0.500 0.667 0.333
Zr 0.000 0.000 0.000
Zr 0.000 0.000 0.500
Zr 0.000 0.500 0.000
Zr 0.000 0.500 0.500
```

No. 3
Density functional theory data (SCAN) for a crystal of ZrAl6Ni relaxed with PBEsol. Values from VASP.

N(E_F) in states/eV per cell: 4.2
Total magnetization in μB/f.u.: 0.000

Structure (Quantum ESPRESSO input):
```
&SYSTEM
  ibrav = 0, nat = 8, ntyp = 3
/
ATOMIC_SPECIES
Ni 58.69 Ni.upf
Zr 91.22 Zr.upf
Al 26.98 Al.upf
CELL_PARAMETERS angstrom
-0.743 -2.585 2.407
3.360 0.239 1.294
-3.338 7.705 7.245
ATOMIC_POSITIONS crystal
Ni 0.000 0.000 0.000
Zr 0.000 0.000 0.500
Al 0.500 0.000 0.702
Al 0.500 0.500 0.888
Al 0.500 0.000 0.298
Al 0.500 0.500 0.112
Al 0.000 0.500 0.298
Al 0.000 0.500 0.702
```

no.,energy of formation (eV/atom)
1,-0.69
2,-0.54
3,0.21